(1)
First-principles (GGA-PBE) data for an optimized crystal structure of Sc2RuCl, as listed in the Alexandria database.

Summary:
Space group: Immm, No. 71
Spin magnetization: 0.0 μB/cell
Uncorrected energy: -6.35 eV/atom
DOS at the Fermi energy: 2.18 states/eV/f.u.
Calculated density: 5.057 g/cm³

Unit cell a=4.7888 b=4.7888 c=4.7888 alpha=130.14 beta=110.77 gamma=90.05
Sites, in units of the cell vectors:
Cl 0.7500 0.2500 0.5000
Sc 0.0039 0.0039 0.0000
Ru 0.2500 0.7500 0.5000
Sc 0.4961 0.4961 0.0000

(2)
First-principles (GGA-PBE) data for an optimized crystal structure of Tb3B2SbRh9, as listed in the Alexandria database.

Summary:
Space group: P-3m1, No. 164
Spin magnetization: 0.0 μB/cell
Uncorrected energy: -7.13 eV/atom
DOS at the Fermi energy: 13.39 states/eV/f.u.
Calculated density: 9.870 g/cm³

Unit cell a=5.8767 b=5.8767 c=8.6986 alpha=90.00 beta=90.00 gamma=120.00
Sites, in units of the cell vectors:
Rh 0.8363 0.1637 0.7287
B 0.3333 0.6667 0.1450
Tb 0.6667 0.3333 0.3143
Sb 0.0000 0.0000 0.5000
Rh 0.1637 0.3274 0.2713
B 0.6667 0.3333 0.8550
Tb 0.0000 0.0000 0.0000
Rh 0.3274 0.1637 0.7287
Rh 0.8363 0.6726 0.7287
Rh 0.1637 0.8363 0.2713
Rh 0.6726 0.8363 0.2713
Rh 0.5000 0.5000 0.0000
Rh 0.0000 0.5000 0.0000
Tb 0.3333 0.6667 0.6857
Rh 0.5000 0.0000 0.0000

(3)
First-principles (GGA-PBE) data for an optimized crystal structure of NaLa2P2, as listed in the Alexandria database.

Summary:
Space group: I4/mmm, No. 139
DFT formation energy: -0.80 eV/atom
Spin magnetization: 0.0 μB/cell
DOS at the Fermi energy: 3.67 states/eV/f.u.
Calculated density: 2.709 g/cm³

Unit cell a=5.6330 b=5.6330 c=8.0597 alpha=69.55 beta=69.55 gamma=90.00
Sites, in units of the cell vectors:
La 0.2500 0.7500 0.5000
Na 0.0000 0.0000 0.0000
P 0.1961 0.1961 0.6078
La 0.7500 0.2500 0.5000
P 0.8039 0.8039 0.3922

(4)
First-principles (GGA-PBE) data for an optimized crystal structure of CdHgBr2, as listed in the Alexandria database.

Summary:
Space group: Immm, No. 71
Spin magnetization: 0.0 μB/cell
Uncorrected energy: -1.66 eV/atom
DOS at the Fermi energy: 0.00 states/eV/f.u.
Calculated density: 5.171 g/cm³

Unit cell a=6.7949 b=6.7949 c=6.7949 alpha=146.99 beta=115.26 gamma=74.62
Sites, in units of the cell vectors:
Cd 0.7500 0.2500 0.5000
Br 0.9236 0.9236 0.0000
Hg 0.2500 0.7500 0.5000
Br 0.5764 0.5764 0.0000

(5)
First-principles (GGA-PBE) data for an optimized crystal structure of Ca2MgTe, as listed in the Alexandria database.

Summary:
Space group: Pmmm, No. 47
Spin magnetization: 0.0 μB/cell
Uncorrected energy: -2.90 eV/atom
DOS at the Fermi energy: 1.87 states/eV/f.u.
Calculated density: 3.234 g/cm³

Unit cell a=4.0510 b=4.0395 c=8.3281 alpha=60.95 beta=90.00 gamma=90.00
Sites, in units of the cell vectors:
Mg 0.5000 0.2500 0.2500
Ca 0.0000 0.0037 0.9958
Ca 0.0000 0.4963 0.5042
Te 0.5000 0.7500 0.7500

(6)
First-principles (GGA-PBE) data for an optimized crystal structure of CsK2Pb2, as listed in the Alexandria database.

Summary:
Space group: P4/mbm, No. 127
DFT formation energy: -0.08 eV/atom
Spin magnetization: 0.0 μB/cell
DOS at the Fermi energy: 1.90 states/eV/f.u.
Calculated density: 4.621 g/cm³

Unit cell a=10.3551 b=10.3551 c=4.1924 alpha=90.00 beta=90.00 gamma=90.00
Sites, in units of the cell vectors:
Pb 0.8948 0.6052 0.0000
K 0.8164 0.3164 0.5000
Pb 0.3948 0.8948 0.0000
Pb 0.1052 0.3948 0.0000
Cs 0.0000 0.0000 0.0000
K 0.1836 0.6836 0.5000
K 0.6836 0.8164 0.5000
Cs 0.5000 0.5000 0.0000
K 0.3164 0.1836 0.5000
Pb 0.6052 0.1052 0.0000

(7)
First-principles (GGA-PBE) data for an optimized crystal structure of La4PrDy4, as listed in the Alexandria database.

Summary:
Space group: P-1, No. 2
DFT formation energy: 0.03 eV/atom
Spin magnetization: 0.0 μB/cell
DOS at the Fermi energy: 14.82 states/eV/f.u.
Calculated density: 7.213 g/cm³

Unit cell a=10.9575 b=9.6738 c=10.9779 alpha=75.56 beta=93.04 gamma=145.11
Sites, in units of the cell vectors:
La 0.9986 0.2512 0.2517
La 0.8895 0.9735 0.8597
Dy 0.7778 0.6937 0.4739
Pr 0.5543 0.6369 0.1973
La 0.6665 0.9185 0.5827
Dy 0.8876 0.4711 0.3637
Dy 0.5582 0.1391 0.6915
Dy 0.6694 0.4159 0.0851
Dy 0.4418 0.8609 0.3085
Dy 0.2222 0.3063 0.5261
La 0.3335 0.0815 0.4173
Pr 0.4457 0.3631 0.8027
La 0.7791 0.1941 0.9714
La 0.0014 0.7488 0.7483
Dy 0.1124 0.5289 0.6363
Dy 0.3306 0.5841 0.9149
La 0.2209 0.8059 0.0286
La 0.1105 0.0265 0.1403

(8)
First-principles (GGA-PBE) data for an optimized crystal structure of HfSe2O, as listed in the Alexandria database.

Summary:
Space group: I-42d, No. 122
Spin magnetization: 0.0 μB/cell
Uncorrected energy: -5.67 eV/atom
DOS at the Fermi energy: 1.79 states/eV/f.u.
Calculated density: 6.488 g/cm³

Unit cell a=5.4990 b=5.4990 c=7.1209 alpha=67.29 beta=67.29 gamma=90.00
Sites, in units of the cell vectors:
Hf 0.0000 0.0000 0.0000
Se 0.1617 0.6250 0.2500
O 0.2500 0.7500 0.5000
Se 0.8750 0.8383 0.7500
Se 0.3750 0.4117 0.7500
Se 0.5883 0.1250 0.2500
O 0.5000 0.5000 0.0000
Hf 0.7500 0.2500 0.5000

(9)
First-principles (GGA-PBE) data for an optimized crystal structure of PmBi2H, as listed in the Alexandria database.

Summary:
Space group: P4/mmm, No. 123
Spin magnetization: 0.0 μB/cell
Uncorrected energy: -4.08 eV/atom
DOS at the Fermi energy: 1.04 states/eV/f.u.
Calculated density: 9.096 g/cm³

Unit cell a=5.3989 b=4.3668 c=4.3668 alpha=90.00 beta=90.00 gamma=90.00
Sites, in units of the cell vectors:
Pm 0.5000 0.0000 0.0000
H 0.5000 0.5000 0.5000
Bi 0.0000 0.0000 0.5000
Bi 0.0000 0.5000 0.0000

(10)
First-principles (GGA-PBE) data for an optimized crystal structure of LuTh2Fe, as listed in the Alexandria database.

Summary:
Space group: R-3m, No. 166
DFT formation energy: 0.27 eV/atom
Spin magnetization: 0.0 μB/cell
DOS at the Fermi energy: 5.97 states/eV/f.u.
Calculated density: 9.618 g/cm³

Unit cell a=3.7223 b=3.7223 c=10.2271 alpha=79.51 beta=79.51 gamma=60.00
Sites, in units of the cell vectors:
Fe 0.5000 0.5000 0.5000
Lu 0.0000 0.0000 0.0000
Th 0.8858 0.8858 0.3425
Th 0.1142 0.1142 0.6575

(11)
First-principles (GGA-PBE) data for an optimized crystal structure of PmY2Th3Bi6, as listed in the Alexandria database.

Summary:
Space group: C2/m, No. 12
DFT formation energy: -0.74 eV/atom
Spin magnetization: 0.0 μB/cell
DOS at the Fermi energy: 6.62 states/eV/f.u.
Calculated density: 9.404 g/cm³

Unit cell a=4.5643 b=9.0896 c=10.1881 alpha=102.70 beta=102.94 gamma=90.00
Sites, in units of the cell vectors:
Y 0.8333 0.6672 0.6667
Bi 0.9974 0.7502 0.9948
Th 0.5000 0.5000 0.0000
Th 0.8347 0.1672 0.6694
Pm 0.5000 0.0000 0.0000
Bi 0.0026 0.2498 0.0052
Th 0.1653 0.8328 0.3306
Y 0.1667 0.3328 0.3333
Bi 0.3313 0.4215 0.6626
Bi 0.3330 0.9109 0.6660
Bi 0.6670 0.0891 0.3340
Bi 0.6687 0.5785 0.3374

(12)
First-principles (GGA-PBE) data for an optimized crystal structure of Ca4Mg4Fe3, as listed in the Alexandria database.

Summary:
Space group: P-43m, No. 215
DFT formation energy: 0.39 eV/atom
Spin magnetization: 5.7 μB/cell
DOS at the Fermi energy: 22.29 states/eV/f.u.
Calculated density: 2.436 g/cm³

Unit cell a=6.6175 b=6.6175 c=6.6175 alpha=90.00 beta=90.00 gamma=90.00
Each line ends with the local moment (μB).
Sites, in units of the cell vectors:
Ca 0.7045 0.7045 0.7045  -0.06
Mg 0.1827 0.1827 0.1827  -0.04
Mg 0.8173 0.8173 0.1827  -0.04
Mg 0.1827 0.8173 0.8173  -0.04
Ca 0.2955 0.7045 0.2955  -0.06
Fe 0.5000 0.0000 0.0000  2.37
Ca 0.2955 0.2955 0.7045  -0.06
Ca 0.7045 0.2955 0.2955  -0.06
Fe 0.0000 0.0000 0.5000  2.37
Fe 0.0000 0.5000 0.0000  2.37
Mg 0.8173 0.1827 0.8173  -0.04